Record 1
# Al2CdAg2 PBE optimized geometry
data_Al2CdAg2
_cell_length_a 3.823
_cell_length_b 3.823
_cell_length_c 13.265
_cell_angle_alpha 90.00
_cell_angle_beta 90.00
_cell_angle_gamma 90.00
_symmetry_space_group_name_H-M 'I 4/m m m'
_symmetry_Int_Tables_number 139
_symmetry_space_group_name_Hall '-I 4 2'
loop_
_atom_site_label
_atom_site_type_symbol
_atom_site_fract_x
_atom_site_fract_y
_atom_site_fract_z
Al1 Al 0.000 0.500 0.250
Cd1 Cd 0.000 0.000 0.000
Ag1 Ag 0.000 0.000 0.393
# Distance to the lowest polymorph of the same formula ... 116 meV per atom
# Formation energy ... 8 kJ per mole of atoms
# Fermi-level density of states ... 0.367 states/eV per atom



Record 2
# Er8Bi2Te PBE optimized geometry
data_Er8Bi2Te
_cell_length_a 18.074
_cell_length_b 4.054
_cell_length_c 9.143
_cell_angle_alpha 90.00
_cell_angle_beta 94.31
_cell_angle_gamma 90.00
_symmetry_space_group_name_H-M 'C 1 2/m 1'
_symmetry_Int_Tables_number 12
loop_
_symmetry_equiv_pos_as_xyz
'x,y,z'
'-x,-y,-z'
'-x,y,-z'
'x,-y,z'
'x+1/2,y+1/2,z'
'-x+1/2,-y+1/2,-z'
'-x+1/2,y+1/2,-z'
'x+1/2,-y+1/2,z'
loop_
_atom_site_label
_atom_site_type_symbol
_atom_site_fract_x
_atom_site_fract_y
_atom_site_fract_z
Er1 Er 0.020 0.000 0.248
Er2 Er 0.093 0.500 0.541
Er3 Er 0.166 0.500 0.037
Er4 Er 0.210 0.000 0.360
Bi1 Bi 0.173 0.000 0.776
Te1 Te 0.000 0.500 0.000
# Fermi-level density of states ... 1.009 states/eV per atom



Record 3
# AlAg6 PBE optimized geometry
data_AlAg6
_cell_length_a 2.9554
_cell_length_b 2.9554
_cell_length_c 48.9443
_cell_angle_alpha 90.00
_cell_angle_beta 90.00
_cell_angle_gamma 120.00
_symmetry_space_group_name_H-M 'R -3 m'
_symmetry_Int_Tables_number 166
_symmetry_space_group_name_Hall '-R 3 2"'
loop_
_atom_site_label
_atom_site_type_symbol
_atom_site_fract_x
_atom_site_fract_y
_atom_site_fract_z
Al1 Al 0.0000 0.0000 0.0000
Ag1 Ag 0.0000 0.0000 0.1424
Ag2 Ag 0.0000 0.0000 0.2887
Ag3 Ag 0.0000 0.0000 0.4270
# Distance to the lowest polymorph of the same formula ... 16 meV per atom
# Formation energy ... 1 kJ per mole of atoms
# Fermi-level density of states ... 0.320 states/eV per atom



Record 4
# CrNiW PBE optimized geometry
data_CrNiW
_cell_length_a 5.656
_cell_length_b 5.656
_cell_length_c 5.656
_cell_angle_alpha 90.00
_cell_angle_beta 90.00
_cell_angle_gamma 90.00
_symmetry_space_group_name_H-M 'F -4 3 m'
_symmetry_Int_Tables_number 216
_symmetry_space_group_name_Hall 'F -4 2 3'
loop_
_atom_site_label
_atom_site_type_symbol
_atom_site_fract_x
_atom_site_fract_y
_atom_site_fract_z
Cr1 Cr 0.000 0.000 0.000
Ni1 Ni 0.250 0.250 0.750
W1 W 0.000 0.000 0.500
# Distance to the lowest polymorph of the same formula ... 649 meV per atom
# Formation energy ... 75 kJ per mole of atoms
# Fermi-level density of states ... 1.264 states/eV per atom



Record 5
# RbTaAu3 PBE optimized geometry
data_RbTaAu3
_cell_length_a 5.471
_cell_length_b 5.471
_cell_length_c 5.471
_cell_angle_alpha 90.00
_cell_angle_beta 90.00
_cell_angle_gamma 90.00
_symmetry_space_group_name_H-M 'P m -3 m'
_symmetry_Int_Tables_number 221
_symmetry_space_group_name_Hall '-P 4 2 3'
loop_
_atom_site_label
_atom_site_type_symbol
_atom_site_fract_x
_atom_site_fract_y
_atom_site_fract_z
Rb1 Rb 0.000 0.000 0.000
Ta1 Ta 0.500 0.500 0.500
Au1 Au 0.000 0.000 0.500
# Distance to the lowest polymorph of the same formula ... 1773 meV per atom
# Formation energy ... 203 kJ per mole of atoms
# Fermi-level density of states ... 1.008 states/eV per atom



Record 6
# Nd6Rh2SBr3 PBE optimized geometry
data_Nd6Rh2SBr3
_cell_length_a 7.248
_cell_length_b 12.536
_cell_length_c 7.985
_cell_angle_alpha 90.00
_cell_angle_beta 107.50
_cell_angle_gamma 90.00
_symmetry_space_group_name_H-M 'C 1 2/m 1'
_symmetry_Int_Tables_number 12
loop_
_symmetry_equiv_pos_as_xyz
'x,y,z'
'-x,-y,-z'
'-x,y,-z'
'x,-y,z'
'x+1/2,y+1/2,z'
'-x+1/2,-y+1/2,-z'
'-x+1/2,y+1/2,-z'
'x+1/2,-y+1/2,z'
loop_
_atom_site_label
_atom_site_type_symbol
_atom_site_fract_x
_atom_site_fract_y
_atom_site_fract_z
Nd1 Nd 0.218 0.000 0.198
Nd2 Nd 0.240 0.327 0.199
Rh1 Rh 0.000 0.167 0.000
S1 S 0.000 0.500 0.000
Br1 Br 0.000 0.000 0.500
Br2 Br 0.000 0.338 0.500
# Fermi-level density of states ... 0.528 states/eV per atom



Record 7
# PuHg2I8 PBE optimized geometry
data_PuHg2I8
_cell_length_a 14.143
_cell_length_b 10.723
_cell_length_c 7.223
_cell_angle_alpha 90.00
_cell_angle_beta 94.70
_cell_angle_gamma 90.00
_symmetry_space_group_name_H-M 'C 1 2/m 1'
_symmetry_Int_Tables_number 12
loop_
_symmetry_equiv_pos_as_xyz
'x,y,z'
'-x,-y,-z'
'-x,y,-z'
'x,-y,z'
'x+1/2,y+1/2,z'
'-x+1/2,-y+1/2,-z'
'-x+1/2,y+1/2,-z'
'x+1/2,-y+1/2,z'
loop_
_atom_site_label
_atom_site_type_symbol
_atom_site_fract_x
_atom_site_fract_y
_atom_site_fract_z
Pu1 Pu 0.000 0.000 0.000
Hg1 Hg 0.211 0.000 0.712
I1 I 0.087 0.205 0.774
I2 I 0.101 0.500 0.297
I3 I 0.176 0.000 0.254
# Distance to the lowest polymorph of the same formula ... 6 meV per atom
# Fermi-level density of states ... 0.742 states/eV per atom



Record 8
# YSb2Ru PBE optimized geometry
data_YSb2Ru
_cell_length_a 4.666
_cell_length_b 4.666
_cell_length_c 3.990
_cell_angle_alpha 90.00
_cell_angle_beta 90.00
_cell_angle_gamma 90.00
_symmetry_space_group_name_H-M 'P 4/m m m'
_symmetry_Int_Tables_number 123
_symmetry_space_group_name_Hall '-P 4 2'
loop_
_atom_site_label
_atom_site_type_symbol
_atom_site_fract_x
_atom_site_fract_y
_atom_site_fract_z
Y1 Y 0.000 0.000 0.000
Sb1 Sb 0.000 0.500 0.500
Ru1 Ru 0.500 0.500 0.000
# Fermi-level density of states ... 0.867 states/eV per atom



Record 9
# TbGa4RuPt2 PBE optimized geometry
data_TbGa4RuPt2
_cell_length_a 4.2667
_cell_length_b 4.2667
_cell_length_c 25.9660
_cell_angle_alpha 90.00
_cell_angle_beta 90.00
_cell_angle_gamma 120.00
_symmetry_space_group_name_H-M 'R -3 m'
_symmetry_Int_Tables_number 166
_symmetry_space_group_name_Hall '-R 3 2"'
loop_
_atom_site_label
_atom_site_type_symbol
_atom_site_fract_x
_atom_site_fract_y
_atom_site_fract_z
Tb1 Tb 0.0000 0.0000 0.0000
Ga1 Ga 0.0000 0.0000 0.1327
Ga2 Ga 0.0000 0.0000 0.3980
Ru1 Ru 0.0000 0.0000 0.5000
Pt1 Pt 0.0000 0.0000 0.2386
# Formation energy ... -62 kJ per mole of atoms
# Fermi-level density of states ... 0.520 states/eV per atom



Record 10
# ZrTl2MoI PBE optimized geometry
data_ZrTl2MoI
_cell_length_a 5.774
_cell_length_b 5.774
_cell_length_c 5.517
_cell_angle_alpha 90.00
_cell_angle_beta 90.00
_cell_angle_gamma 90.00
_symmetry_space_group_name_H-M 'P 4/m m m'
_symmetry_Int_Tables_number 123
_symmetry_space_group_name_Hall '-P 4 2'
loop_
_atom_site_label
_atom_site_type_symbol
_atom_site_fract_x
_atom_site_fract_y
_atom_site_fract_z
Zr1 Zr 0.000 0.000 0.000
Tl1 Tl 0.000 0.500 0.000
Mo1 Mo 0.500 0.500 0.500
I1 I 0.000 0.000 0.500
# Fermi-level density of states ... 0.840 states/eV per atom



Record 11
# Mg2TeAu PBE optimized geometry
data_Mg2TeAu
_cell_length_a 11.707
_cell_length_b 3.975
_cell_length_c 4.010
_cell_angle_alpha 90.00
_cell_angle_beta 90.07
_cell_angle_gamma 90.00
_symmetry_space_group_name_H-M 'C 1 m 1'
_symmetry_Int_Tables_number 8
loop_
_symmetry_equiv_pos_as_xyz
'x,y,z'
'x,-y,z'
'x+1/2,y+1/2,z'
'x+1/2,-y+1/2,z'
loop_
_atom_site_label
_atom_site_type_symbol
_atom_site_fract_x
_atom_site_fract_y
_atom_site_fract_z
Mg1 Mg 0.000 0.000 0.000
Mg2 Mg 0.191 0.500 0.501
Te1 Te 0.262 0.000 0.001
Au1 Au 0.466 0.000 0.500
# Fermi-level density of states ... 0.406 states/eV per atom



Record 12
# TlRuRh2 PBE optimized geometry
data_TlRuRh2
_cell_length_a 4.005
_cell_length_b 4.005
_cell_length_c 7.926
_cell_angle_alpha 90.00
_cell_angle_beta 90.00
_cell_angle_gamma 90.00
_symmetry_space_group_name_H-M 'I 4/m m m'
_symmetry_Int_Tables_number 139
_symmetry_space_group_name_Hall '-I 4 2'
loop_
_atom_site_label
_atom_site_type_symbol
_atom_site_fract_x
_atom_site_fract_y
_atom_site_fract_z
Tl1 Tl 0.000 0.000 0.000
Ru1 Ru 0.000 0.000 0.500
Rh1 Rh 0.000 0.500 0.250
# Distance to the lowest polymorph of the same formula ... 38 meV per atom
# Formation energy ... 24 kJ per mole of atoms
# Fermi-level density of states ... 1.147 states/eV per atom



no.,size of the total moment (μB per atom),uncorrected energy (eV/atom)
1,0.000,-2.74
2,0.061,-4.77
3,0.000,-2.97
4,0.668,-8.67
5,0.581,-2.42
6,0.000,-5.59
7,0.363,-2.99
8,0.000,-6.22
9,0.000,-5.41
10,0.883,-3.97
11,0.000,-2.90
12,0.000,-6.33